## a
A relaxed La2HgO2 crystal. Source: Alexandria via LeMat-Bulk, functional PBE-GGA.

Lattice parameters (Å, degrees): 4.173 4.173 7.198 73.15 73.15 90.00
Sites, in units of the cell vectors:
O 0.250 0.750 0.500
O 0.750 0.250 0.500
Hg 0.000 0.000 0.000
La 0.339 0.339 0.322
La 0.661 0.661 0.678

***

## b
A relaxed La2HgO2 crystal. Source: Alexandria via LeMat-Bulk, functional PBE-GGA.

Lattice parameters (Å, degrees): 7.957 7.957 3.182 90.00 90.00 90.00
Sites, in units of the cell vectors:
Hg 0.000 0.000 0.000
La 0.640 0.140 0.000
La 0.140 0.360 0.000
O 0.115 0.615 0.500
La 0.360 0.860 0.000
Hg 0.500 0.500 0.000
O 0.885 0.385 0.500
O 0.385 0.115 0.500
La 0.860 0.640 0.000
O 0.615 0.885 0.500

***

Energy ordering: a at the bottom, the next structure 822 meV/atom above.